## MgBe2Os (PBE)

Data for a relaxed MgBe2Os crystal.

Unit cell a=4.2313 b=4.2313 c=4.4682 alpha=71.40 beta=71.40 gamma=44.79
Fractional coordinates of all 4 atoms:
Os  0.7500  0.7500  0.7500
Be  0.4724  0.4724  0.6180
Mg  0.2500  0.2500  0.2500
Be  0.0276  0.0276  0.8820

Summary:
SG: C2/m
Uncorrected energy, eV per formula unit: -20.0

=====

## MgTaBeOs2 (PBE)

Data for a relaxed MgTaBeOs2 crystal.

Unit cell a=4.7777 b=4.4941 c=4.7777 alpha=90.00 beta=90.00 gamma=90.00
Fractional coordinates of all 5 atoms:
Mg  0.5000  0.5000  0.5000
Os  0.5000  0.0000  0.0000
Os  0.0000  0.0000  0.5000
Ta  0.0000  0.0000  0.0000
Be  0.0000  0.5000  0.0000

Summary:
SG: P4/mmm
Uncorrected energy, eV per formula unit: -31.8

=====

## MgBeP2 (PBE)

Data for a relaxed MgBeP2 crystal.

Unit cell a=4.5288 b=4.5288 c=4.5288 alpha=126.63 beta=126.63 gamma=78.85
Fractional coordinates of all 4 atoms:
P  0.0000  0.0000  0.0000
Be  0.2500  0.7500  0.5000
Mg  0.7500  0.2500  0.5000
P  0.5000  0.5000  0.0000

Summary:
Polymorph energy (0 for the lowest one), eV/atom: 0.480
SG: I4/mmm
Uncorrected energy, eV per formula unit: -15.0

=====

## MgBeP2 (PBE)

Data for a relaxed MgBeP2 crystal.

Unit cell a=4.7228 b=4.7228 c=7.3225 alpha=71.19 beta=71.19 gamma=90.00
Fractional coordinates of all 8 atoms:
P  0.3750  0.4998  0.7500
P  0.5002  0.1250  0.2500
P  0.2498  0.6250  0.2500
P  0.8750  0.7502  0.7500
Be  0.2500  0.7500  0.5000
Be  0.5000  0.5000  0.0000
Mg  0.0000  0.0000  0.0000
Mg  0.7500  0.2500  0.5000

Summary:
Polymorph energy (0 for the lowest one), eV/atom: 0.082
SG: I-42d
Uncorrected energy, eV per formula unit: -16.6

=====

> What is the formula in the first record?

MgBe2Os

=====

> The highest uncorrected energy belongs to which entry?

number 3